1.
Crystalline CaTbHg6 at its relaxed geometry, computed with GGA-PBE.

## Properties
mass density: 11.8 Mg/m³
density of states at the Fermi level: 5.25 states/eV per cell
energy of formation: -367 meV per atom
uncorrected energy: -1.422 eV/atom
calculated volume: 197 Å³/f.u.
symmetry: Amm2 (38)

Cell lengths 5.1321, 6.6367, 6.6367 Å; angles 119.45, 90.00, 90.00 degrees
Fractional coordinates of all 8 atoms:
Ca 0.5000 0.4130 0.5870
Tb 0.0000 0.0873 0.9127
Hg 0.0000 0.0743 0.4092
Hg 0.0000 0.5908 0.9257
Hg 0.0000 0.5848 0.4152
Hg 0.5000 0.4183 0.0875
Hg 0.5000 0.9125 0.5817
Hg 0.5000 0.9188 0.0812



2.
Crystalline Ca2TbHg6 at its relaxed geometry, computed with GGA-PBE.

## Properties
mass density: 10.6 Mg/m³
density of states at the Fermi level: 4.09 states/eV per cell
energy of formation: -426 meV per atom
uncorrected energy: -1.587 eV/atom
calculated volume: 227 Å³/f.u.
symmetry: P6/mmm (191)

Cell lengths 3.5087, 8.6440, 8.6440 Å; angles 120.00, 90.00, 90.00 degrees
Fractional coordinates of all 9 atoms:
Ca 0.0000 0.3333 0.6667
Ca 0.0000 0.6667 0.3333
Tb 0.0000 0.0000 0.0000
Hg 0.5000 0.3335 0.3335
Hg 0.5000 0.6665 0.6665
Hg 0.5000 0.0000 0.6665
Hg 0.5000 0.6665 0.0000
Hg 0.5000 0.3335 0.0000
Hg 0.5000 0.0000 0.3335



3.
Crystalline Ca2TbHg at its relaxed geometry, computed with GGA-PBE.

## Properties
mass density: 5.7 Mg/m³
density of states at the Fermi level: 5.68 states/eV per cell
energy of formation: -175 meV per atom
uncorrected energy: -2.409 eV/atom
calculated volume: 128 Å³/f.u.
symmetry: P4/mmm (123)

Cell lengths 3.6537, 3.6537, 9.6128 Å; angles 90.00, 90.00, 90.00 degrees
Fractional coordinates of all 4 atoms:
Ca 0.0000 0.0000 0.7931
Ca 0.0000 0.0000 0.2069
Tb 0.5000 0.5000 0.5000
Hg 0.5000 0.5000 0.0000